[1]
Below is CaN after structural relaxation, with properties calculated at the PBE level.

a = 6.6422 Å, b = 6.6422 Å, c = 6.6422 Å
α = 90.00°, β = 90.00°, γ = 90.00°
Last column: nearest neighbours and their distance in Å.
Fractional coordinates of all 12 atoms:
Ca  0.0000  0.2500  0.5000  4 N 2.35
Ca  0.0000  0.7500  0.5000  4 N 2.35
Ca  0.2500  0.5000  0.0000  4 N 2.35
Ca  0.5000  0.0000  0.2500  4 N 2.35
Ca  0.5000  0.0000  0.7500  4 N 2.35
Ca  0.7500  0.5000  0.0000  4 N 2.35
N  0.0000  0.5000  0.2500  4 Ca 2.35
N  0.0000  0.5000  0.7500  4 Ca 2.35
N  0.2500  0.0000  0.5000  4 Ca 2.35
N  0.5000  0.2500  0.0000  4 Ca 2.35
N  0.5000  0.7500  0.0000  4 Ca 2.35
N  0.7500  0.0000  0.5000  4 Ca 2.35

Results
space-group type	No. 223
D(E_F)	10.35	states/eV/cell

=====

[2]
Below is Ca2N after structural relaxation, with properties calculated at the PBE level.

a = 3.6070 Å, b = 3.6070 Å, c = 6.4407 Å
α = 90.13°, β = 90.13°, γ = 60.01°
Last column: nearest neighbours and their distance in Å.
Fractional coordinates of all 3 atoms:
Ca  0.1672  0.1672  0.1949  3 N 2.43
Ca  0.8328  0.8328  0.8051  3 N 2.43
N  0.5000  0.5000  0.0000  6 Ca 2.43

Results
space-group type	No. 12
D(E_F)	0.87	states/eV/cell

=====

[3]
Below is Ca3N2 after structural relaxation, with properties calculated at the PBE level.

a = 9.9341 Å, b = 9.9341 Å, c = 9.9341 Å
α = 109.47°, β = 109.47°, γ = 109.47°
Last column: nearest neighbours and their distance in Å.
Fractional coordinates of all 40 atoms:
Ca  0.0067  0.4629  0.7352  4 N 2.46-2.47
Ca  0.0371  0.0438  0.2723  4 N 2.46-2.47
Ca  0.0438  0.2723  0.0371  4 N 2.46-2.47
Ca  0.2277  0.2715  0.7648  4 N 2.46-2.47
Ca  0.2285  0.4562  0.4933  4 N 2.46-2.47
Ca  0.2352  0.7723  0.7285  4 N 2.46-2.47
Ca  0.2648  0.9933  0.5371  4 N 2.46-2.47
Ca  0.2715  0.7648  0.2277  4 N 2.46-2.47
Ca  0.2723  0.0371  0.0438  4 N 2.46-2.47
Ca  0.4562  0.4933  0.2285  4 N 2.46-2.47
Ca  0.4629  0.7352  0.0067  4 N 2.46-2.47
Ca  0.4933  0.2285  0.4562  4 N 2.46-2.47
Ca  0.5067  0.7715  0.5438  4 N 2.46-2.47
Ca  0.5371  0.2648  0.9933  4 N 2.46-2.47
Ca  0.5438  0.5067  0.7715  4 N 2.46-2.47
Ca  0.7277  0.9629  0.9562  4 N 2.46-2.47
Ca  0.7285  0.2352  0.7723  4 N 2.46-2.47
Ca  0.7352  0.0067  0.4629  4 N 2.46-2.47
Ca  0.7648  0.2277  0.2715  4 N 2.46-2.47
Ca  0.7715  0.5438  0.5067  4 N 2.46-2.47
Ca  0.7723  0.7285  0.2352  4 N 2.46-2.47
Ca  0.9562  0.7277  0.9629  4 N 2.46-2.47
Ca  0.9629  0.9562  0.7277  4 N 2.46-2.47
Ca  0.9933  0.5371  0.2648  4 N 2.46-2.47
N  0.0000  0.0000  0.0000  6 Ca 2.47
N  0.0000  0.5000  0.5000  6 Ca 2.47
N  0.0396  0.7896  0.2500  6 Ca 2.46-2.47
N  0.2104  0.7500  0.9604  6 Ca 2.46-2.47
N  0.2500  0.0396  0.7896  6 Ca 2.46-2.47
N  0.2500  0.5396  0.2896  6 Ca 2.46-2.47
N  0.2896  0.2500  0.5396  6 Ca 2.46-2.47
N  0.4604  0.7104  0.7500  6 Ca 2.46-2.47
N  0.5000  0.0000  0.5000  6 Ca 2.47
N  0.5000  0.5000  0.0000  6 Ca 2.47
N  0.5396  0.2896  0.2500  6 Ca 2.46-2.47
N  0.7104  0.7500  0.4604  6 Ca 2.46-2.47
N  0.7500  0.4604  0.7104  6 Ca 2.46-2.47
N  0.7500  0.9604  0.2104  6 Ca 2.46-2.47
N  0.7896  0.2500  0.0396  6 Ca 2.46-2.47
N  0.9604  0.2104  0.7500  6 Ca 2.46-2.47

Results
space-group type	No. 206

=====

[4]
Below is Ca3N2 after structural relaxation, with properties calculated at the PBE level.

a = 6.6064 Å, b = 6.6064 Å, c = 6.6064 Å
α = 55.90°, β = 55.90°, γ = 55.90°
Last column: nearest neighbours and their distance in Å.
Fractional coordinates of all 10 atoms:
Ca  0.0502  0.7500  0.4498  4 N 2.42-2.54
Ca  0.2500  0.5502  0.9498  4 N 2.42-2.54
Ca  0.4498  0.0502  0.7500  4 N 2.42-2.54
Ca  0.5502  0.9498  0.2500  4 N 2.42-2.54
Ca  0.7500  0.4498  0.0502  4 N 2.42-2.54
Ca  0.9498  0.2500  0.5502  4 N 2.42-2.54
N  0.1466  0.1466  0.1466  6 Ca 2.42-2.54
N  0.3534  0.3534  0.3534  6 Ca 2.42-2.54
N  0.6466  0.6466  0.6466  6 Ca 2.42-2.54
N  0.8534  0.8534  0.8534  6 Ca 2.42-2.54

Results
space-group type	No. 167

=====

[5]
Below is CaN after structural relaxation, with properties calculated at the PBE level.

a = 6.3410 Å, b = 6.3410 Å, c = 6.3410 Å
α = 98.72°, β = 98.72°, γ = 134.16°
Last column: nearest neighbours and their distance in Å.
Fractional coordinates of all 8 atoms:
Ca  0.1502  0.6502  0.8004  5 N 2.40-2.47
Ca  0.3498  0.1502  0.5000  5 N 2.40-2.47
Ca  0.6502  0.8498  0.5000  5 N 2.40-2.47
Ca  0.8498  0.3498  0.1996  5 N 2.40-2.47
N  0.1442  0.3558  0.5000  5 Ca 2.40-2.47
N  0.3558  0.8558  0.2116  5 Ca 2.40-2.47
N  0.6442  0.1442  0.7884  5 Ca 2.40-2.47
N  0.8558  0.6442  0.5000  5 Ca 2.40-2.47

Results
space-group type	No. 140
D(E_F)	8.70	states/eV/cell

=====

[6]
Below is CaN after structural relaxation, with properties calculated at the PBE level.

a = 6.5186 Å, b = 6.5186 Å, c = 3.6536 Å
α = 90.00°, β = 90.00°, γ = 90.00°
Last column: nearest neighbours and their distance in Å.
Fractional coordinates of all 8 atoms:
Ca  0.2448  0.2448  0.0000  4 N 2.41-2.45
Ca  0.2552  0.7448  0.5000  4 N 2.41-2.45
Ca  0.7448  0.2552  0.5000  4 N 2.41-2.45
Ca  0.7552  0.7552  0.0000  4 N 2.41-2.45
N  0.0737  0.0737  0.5000  1 N 1.36
N  0.4263  0.5737  0.0000  1 N 1.36
N  0.5737  0.4263  0.0000  1 N 1.36
N  0.9263  0.9263  0.5000  1 N 1.36

Results
space-group type	No. 136
D(E_F)	3.34	states/eV/cell

=====

[7]
Below is Ca2N after structural relaxation, with properties calculated at the PBE level.

a = 4.2616 Å, b = 4.2616 Å, c = 4.2616 Å
α = 60.00°, β = 60.00°, γ = 60.00°
Last column: nearest neighbours and their distance in Å.
Fractional coordinates of all 3 atoms:
Ca  0.2500  0.2500  0.2500  4 N 2.61
Ca  0.7500  0.7500  0.7500  4 N 2.61
N  0.0000  0.0000  0.0000  8 Ca 2.61

Results
space-group type	No. 225
D(E_F)	1.68	states/eV/cell

=====

[8]
Below is Ca4N3 after structural relaxation, with properties calculated at the PBE level.

a = 6.5659 Å, b = 6.5659 Å, c = 6.1893 Å
α = 116.17°, β = 116.17°, γ = 32.46°
Last column: nearest neighbours and their distance in Å.
Fractional coordinates of all 7 atoms:
Ca  0.1347  0.1347  0.4458  4 N 2.38-2.49
Ca  0.3596  0.3596  0.0008  5 N 2.42-2.59
Ca  0.6404  0.6404  0.9992  5 N 2.42-2.59
Ca  0.8653  0.8653  0.5542  4 N 2.38-2.49
N  0.0000  0.0000  0.0000  6 Ca 2.49-2.55
N  0.2782  0.2782  0.2862  6 Ca 2.38-2.59
N  0.7218  0.7218  0.7138  6 Ca 2.38-2.59

Results
space-group type	No. 12
D(E_F)	1.68	states/eV/cell

=====

[9]
Below is Ca3N2 after structural relaxation, with properties calculated at the PBE level.

a = 8.9821 Å, b = 6.2132 Å, c = 6.3607 Å
α = 90.00°, β = 90.00°, γ = 90.00°
Last column: nearest neighbours and their distance in Å.
Fractional coordinates of all 20 atoms:
Ca  0.0000  0.0449  0.2500  4 N 2.41-2.50
Ca  0.0000  0.9551  0.7500  4 N 2.41-2.50
Ca  0.1529  0.3936  0.6049  4 N 2.42-2.59
Ca  0.1529  0.6064  0.1049  4 N 2.42-2.59
Ca  0.3471  0.1064  0.1049  4 N 2.42-2.59
Ca  0.3471  0.8936  0.6049  4 N 2.42-2.59
Ca  0.5000  0.4551  0.7500  4 N 2.41-2.50
Ca  0.5000  0.5449  0.2500  4 N 2.41-2.50
Ca  0.6529  0.1064  0.3951  4 N 2.42-2.59
Ca  0.6529  0.8936  0.8951  4 N 2.42-2.59
Ca  0.8471  0.3936  0.8951  4 N 2.42-2.59
Ca  0.8471  0.6064  0.3951  4 N 2.42-2.59
N  0.1120  0.2472  0.9687  6 Ca 2.41-2.59
N  0.1120  0.7528  0.4687  6 Ca 2.41-2.59
N  0.3880  0.2528  0.4687  6 Ca 2.41-2.59
N  0.3880  0.7472  0.9687  6 Ca 2.41-2.59
N  0.6120  0.2528  0.0313  6 Ca 2.41-2.59
N  0.6120  0.7472  0.5313  6 Ca 2.41-2.59
N  0.8880  0.2472  0.5313  6 Ca 2.41-2.59
N  0.8880  0.7528  0.0313  6 Ca 2.41-2.59

Results
space-group type	No. 60

=====

[10]
Below is CaN2 after structural relaxation, with properties calculated at the PBE level.

a = 3.9329 Å, b = 3.9329 Å, c = 3.9329 Å
α = 125.24°, β = 125.24°, γ = 81.14°
Last column: nearest neighbours and their distance in Å.
Fractional coordinates of all 3 atoms:
Ca  0.0000  0.0000  0.0000  10 N 2.36-2.63
N  0.3948  0.3948  0.0000  1 N 1.26
N  0.6052  0.6052  0.0000  1 N 1.26

Results
space-group type	No. 139
D(E_F)	1.65	states/eV/cell

=====

[11]
Below is CaN after structural relaxation, with properties calculated at the PBE level.

a = 6.3753 Å, b = 6.3753 Å, c = 6.3753 Å
α = 109.47°, β = 109.47°, γ = 109.47°
Last column: nearest neighbours and their distance in Å.
Fractional coordinates of all 8 atoms:
Ca  0.0000  0.0000  0.3388  4 N 2.28-2.37
Ca  0.0000  0.3388  0.0000  4 N 2.28-2.37
Ca  0.3388  0.0000  0.0000  4 N 2.28-2.37
Ca  0.6612  0.6612  0.6612  4 N 2.28-2.37
N  0.0000  0.0000  0.6966  4 Ca 2.28-2.37
N  0.0000  0.6966  0.0000  4 Ca 2.28-2.37
N  0.3034  0.3034  0.3034  4 Ca 2.28-2.37
N  0.6966  0.0000  0.0000  4 Ca 2.28-2.37

Results
space-group type	No. 217
D(E_F)	10.76	states/eV/cell

=====

[12]
Below is NaCaN2 after structural relaxation, with properties calculated at the PBE level.

a = 6.8455 Å, b = 6.8455 Å, c = 6.8455 Å
α = 32.84°, β = 32.84°, γ = 32.84°
Last column: nearest neighbours and their distance in Å.
Fractional coordinates of all 4 atoms:
Na  0.0000  0.0000  0.0000  2 N 2.27
Ca  0.5000  0.5000  0.5000  6 N 2.43
N  0.1172  0.1172  0.1172  1 Na 2.27, 3 Ca 2.43
N  0.8828  0.8828  0.8828  1 Na 2.27, 3 Ca 2.43

Results
space-group type	No. 166
D(E_F)	1.78	states/eV/cell

=====

| no. | final energy (eV per cell) |
| --- | --- |
| 1 | -62.0 |
| 2 | -14.6 |
| 3 | -213.0 |
| 4 | -53.1 |
| 5 | -42.4 |
| 6 | -44.5 |
| 7 | -13.4 |
| 8 | -37.5 |
| 9 | -105.9 |
| 10 | -20.2 |
| 11 | -41.2 |
| 12 | -17.2 |